A plane-wave DFT calculation with PBE-GGA was carried out for a relaxed PmEuGdTl crystal.

Properties
formation enthalpy at 0 K	-0.13	eV/f.u.
space-group type	F-43m, No. 216

a b c (Å): 5.615 5.615 5.615
angles (deg): 60.00 60.00 60.00
Sites, in units of the cell vectors:
Pm: 0.000 0.000 0.000
Eu: 0.250 0.250 0.250
Gd: 0.750 0.750 0.750
Tl: 0.500 0.500 0.500

A plane-wave DFT calculation with PBE-GGA was carried out for a relaxed PmEuGdY crystal.

Properties
formation enthalpy at 0 K	0.56	eV/f.u.
space-group type	F-43m, No. 216

a b c (Å): 5.817 5.817 5.817
angles (deg): 60.00 60.00 60.00
Sites, in units of the cell vectors:
Pm: 0.000 0.000 0.000
Eu: 0.500 0.500 0.500
Gd: 0.750 0.750 0.750
Y: 0.250 0.250 0.250